DFT (PBE) results for Na2Sc2Si after structural relaxation.

Excess energy over the best structure of this formula in the dataset: 0.00 eV/f.u.

Unit cell a=6.9529 b=6.9529 c=4.6983 alpha=90.00 beta=90.00 gamma=90.00
Closest atoms and distances in Å follow each position.
Space group P4/mbm (No. 127)
Inequivalent atoms, fractional coordinates:
Na (0.1262, 0.3738, 0.0000)  1 Na 2.48, 2 Si 2.74
Sc (0.1928, 0.6928, 0.5000)  6 Na 2.95-3.26
Si (0.0000, 0.0000, 0.0000)  4 Na 2.74

***

DFT (PBE) results for Na2Sc2Si after structural relaxation.

Excess energy over the best structure of this formula in the dataset: 1.25 eV/f.u.

Unit cell a=4.0498 b=4.0498 c=16.6502 alpha=90.00 beta=90.00 gamma=90.00
Closest atoms and distances in Å follow each position.
Space group I4/mmm (No. 139)
Inequivalent atoms, fractional coordinates:
Na (0.0000, 0.0000, 0.0839)  1 Na 2.79
Sc (0.0000, 0.5000, 0.2500)  4 Sc 2.86
Si (0.0000, 0.0000, 0.5000)  8 Na 3.19

***

DFT (PBE) results for NaSc2Si after structural relaxation.

Unit cell a=3.1616 b=3.1616 c=34.4960 alpha=90.00 beta=90.00 gamma=120.00
Closest atoms and distances in Å follow each position.
Space group R-3m (No. 166, hexagonal axes)
Inequivalent atoms, fractional coordinates:
Na (0.0000, 0.0000, 0.0000)  6 Na 3.16
Sc (0.0000, 0.0000, 0.4225)  1 Si 2.67
Si (0.0000, 0.0000, 0.5000)  2 Sc 2.67

***

DFT (PBE) results for NaSc3Si after structural relaxation.

Excess energy over the best structure of this formula in the dataset: 4.93 eV/f.u.

Unit cell a=4.9849 b=4.9849 c=4.9849 alpha=90.00 beta=90.00 gamma=90.00
Closest atoms and distances in Å follow each position.
Space group Pm-3m (No. 221)
Inequivalent atoms, fractional coordinates:
Na (0.0000, 0.0000, 0.0000)  6 Sc 2.49
Sc (0.0000, 0.0000, 0.5000)  2 Na 2.49
Si (0.5000, 0.5000, 0.5000)  12 Sc 3.52

***

DFT (PBE) results for Na2ScSi2 after structural relaxation.

Unit cell a=7.0165 b=7.0165 c=4.7631 alpha=90.00 beta=90.00 gamma=90.00
Closest atoms and distances in Å follow each position.
Space group P4/mbm (No. 127)
Inequivalent atoms, fractional coordinates:
Na (0.1730, 0.3270, 0.0000)  6 Si 3.16, 1 Na 3.43, 4 Sc 3.52
Sc (0.0000, 0.0000, 0.5000)  4 Si 2.81
Si (0.1171, 0.6171, 0.5000)  1 Si 2.32

***

DFT (PBE) results for NaScSi3 after structural relaxation.

Excess energy over the best structure of this formula in the dataset: 0.00 eV/f.u.

Unit cell a=5.0706 b=5.0706 c=5.0706 alpha=90.00 beta=90.00 gamma=90.00
Closest atoms and distances in Å follow each position.
Space group Pm-3m (No. 221)
Inequivalent atoms, fractional coordinates:
Na (0.0000, 0.0000, 0.0000)  12 Si 3.59
Sc (0.5000, 0.5000, 0.5000)  6 Si 2.54
Si (0.0000, 0.5000, 0.5000)  2 Sc 2.54

***

DFT (PBE) results for NaScSi3 after structural relaxation.

Excess energy over the best structure of this formula in the dataset: 2.60 eV/f.u.

Unit cell a=4.7835 b=4.7835 c=4.7835 alpha=90.00 beta=90.00 gamma=90.00
Closest atoms and distances in Å follow each position.
Space group Pm-3m (No. 221)
Inequivalent atoms, fractional coordinates:
Na (0.0000, 0.0000, 0.0000)  6 Si 2.39
Sc (0.5000, 0.5000, 0.5000)  12 Si 3.38
Si (0.0000, 0.0000, 0.5000)  2 Na 2.39

***

DFT (PBE) results for NaSc3Si after structural relaxation.

Excess energy over the best structure of this formula in the dataset: 0.00 eV/f.u.

Unit cell a=5.1736 b=5.1736 c=5.1736 alpha=90.00 beta=90.00 gamma=90.00
Closest atoms and distances in Å follow each position.
Space group Pm-3m (No. 221)
Inequivalent atoms, fractional coordinates:
Na (0.0000, 0.0000, 0.0000)  12 Sc 3.66
Sc (0.0000, 0.5000, 0.5000)  2 Si 2.59
Si (0.5000, 0.5000, 0.5000)  6 Sc 2.59

***

no.,ρ (Mg/m³),formation energy (no corrections) (meV per atom)
1,2.4,454
2,2.0,704
3,2.4,440
4,2.5,1077
5,2.1,44
6,1.9,578
7,2.3,1098
8,2.2,91